Record 1
VASP calculation (GGA-PBE) on a geometry-optimized GaSO structure.

POSCAR file:
```
GaSO
1.0
-0.281 5.278 -1.792
-6.472 -0.610 -0.781
1.385 2.011 5.705
O S Ga
4 4 4
Cartesian
-5.610 2.366 2.256 O
0.242 4.314 0.876 O
-6.263 0.603 -0.340 O
0.894 6.076 3.472 O
-3.156 1.876 -0.349 S
-2.212 4.804 3.481 S
-2.970 5.027 0.211 S
-2.398 1.653 2.921 S
-4.506 1.768 3.678 Ga
-5.266 2.044 0.390 Ga
-0.862 4.912 -0.546 Ga
-0.102 4.635 2.742 Ga
```

Energy relative to the elements, uncorrected: -101.7 kJ/mol of atoms
SG: P2_1/c, No. 14
VASP energy: -5.091 eV per atom
Calculated volume: 212 Å³ per cell

Record 2
VASP calculation (GGA-PBE) on a geometry-optimized GaS2O structure.

POSCAR file:
```
GaS2O
1.0
1.630 0.000 8.355
-0.815 1.412 8.355
-0.815 -1.412 8.355
S O Ga
2 1 1
Cartesian
0.000 0.000 22.511 S
0.000 0.000 2.554 S
0.000 0.000 12.532 O
0.000 0.000 0.000 Ga
```

Energy relative to the elements, uncorrected: 72.9 kJ/mol of atoms
SG: R-3m, No. 166
VASP energy: -3.305 eV per atom
Calculated volume: 58 Å³ per cell
Energy above the most stable polymorph in this dataset: 0.800 eV/atom

VASP energy of number 1 (GaSO)? -5.091 eV per atom

Copy entry 2 word for word.
VASP calculation (GGA-PBE) on a geometry-optimized GaS2O structure.

POSCAR file:
```
GaS2O
1.0
1.630 0.000 8.355
-0.815 1.412 8.355
-0.815 -1.412 8.355
S O Ga
2 1 1
Cartesian
0.000 0.000 22.511 S
0.000 0.000 2.554 S
0.000 0.000 12.532 O
0.000 0.000 0.000 Ga
```

Energy relative to the elements, uncorrected: 72.9 kJ/mol of atoms
SG: R-3m, No. 166
VASP energy: -3.305 eV per atom
Calculated volume: 58 Å³ per cell
Energy above the most stable polymorph in this dataset: 0.800 eV/atom

What is the energy relative to the elements, uncorrected in the first record? -101.7 kJ/mol of atoms

What is the VASP energy in the first record? -5.091 eV per atom